Density functional theory data (PBE) for an optimized crystal structure of LuBe2Ga.

Properties
E_tot	-14.66	eV per cell

Unit cell a=4.3859 b=4.3859 c=4.3859 alpha=60.00 beta=60.00 gamma=60.00
Closest atoms and distances in Å follow each position.
Sites, in units of the cell vectors:
Lu: 0.0000 0.0000 0.0000  4 Be 2.69, 4 Ga 2.69
Be: 0.2500 0.2500 0.2500  4 Be 2.69, 4 Lu 2.69
Be: 0.5000 0.5000 0.5000  4 Be 2.69, 4 Ga 2.69
Ga: 0.7500 0.7500 0.7500  4 Be 2.69, 4 Lu 2.69